Entry 1:
# ZnH10C4N6Cl2O4 | Alexandria via LeMat-Bulk | GGA-PBE | optimized geometry
data_ZnH10C4N6Cl2O4
_chemical_formula_sum 'Zn2 H20 C8 N12 Cl4 O8'
_space_group_name_H-M_alt 'P 1 21/c 1'
_space_group_IT_number 14
_space_group_name_Hall '-P 2ybc'
_cell_length_a 8.1176
_cell_length_b 7.4254
_cell_length_c 11.8002
_cell_angle_alpha 90.00
_cell_angle_beta 122.48
_cell_angle_gamma 90.00
loop_
_atom_site_label
_atom_site_type_symbol
_atom_site_fract_x
_atom_site_fract_y
_atom_site_fract_z
Zn1 Zn 0.0000 0.0000 0.0000
H1 H 0.0981 0.0944 0.4676
H2 H 0.2224 0.0659 0.3833
H3 H 0.2864 0.6896 0.8385
H4 H 0.3276 0.1477 0.7990
H5 H 0.4184 0.5647 0.2988
C1 C 0.1561 0.6655 0.9456
C2 C 0.2363 0.5485 0.3740
N1 N 0.1700 0.0127 0.4380
N2 N 0.2368 0.7343 0.3876
N3 N 0.3319 0.0125 0.8180
Cl1 Cl 0.3134 0.0559 0.2316
O1 O 0.0772 0.7337 0.0034
O2 O 0.1517 0.0593 0.9092
# - Magnetic moment: 0.000 μB per formula unit
# - V: 11.111 A^3/atom
# - Energy: -6.033 eV per atom
# - Fermi-level density of states: 0.0 states/eV per cell


Entry 2:
# CuMo2Pt | Alexandria via LeMat-Bulk | GGA-PBE | optimized geometry
data_CuMo2Pt
_chemical_formula_sum 'Cu3 Mo6 Pt3'
_space_group_name_H-M_alt 'R 3 m'
_space_group_IT_number 160
_space_group_name_Hall 'R 3 -2"'
_cell_length_a 2.7588
_cell_length_b 2.7588
_cell_length_c 27.4747
_cell_angle_alpha 90.00
_cell_angle_beta 90.00
_cell_angle_gamma 120.00
loop_
_atom_site_label
_atom_site_type_symbol
_atom_site_fract_x
_atom_site_fract_y
_atom_site_fract_z
Cu1 Cu 0.0000 0.0000 0.0000
Mo1 Mo 0.0000 0.0000 0.2526
Mo2 Mo 0.0000 0.0000 0.4973
Pt1 Pt 0.0000 0.0000 0.7471
# - Magnetic moment: 0.000 μB per formula unit
# - ΔE to the lowest computed polymorph: 59.0 kJ/mol of formula units
# - ΔE_f: 0.40 eV/f.u.
# - V: 15.091 A^3/atom
# - Energy: -7.850 eV per atom
# - Fermi-level density of states: 11.8 states/eV per cell


- Look up the Fermi-level density of states of the first one.
  0.0 states/eV per cell


- The lowest V belongs to which entry?
  ZnH10C4N6Cl2O4